# 1
Below is a relaxed structure of ReSi2Br, with properties calculated at the GGA-PBE level.

Geometry as POSCAR:
```
ReSi2Br
1.0
1.5056 -2.5408 0.0000
1.5056 2.5408 0.0000
0.0000 0.0000 9.2553
Re Si Br
1 2 1
direct
0.0000 0.0000 0.0000
0.0000 0.0000 0.5740
0.5000 0.5000 0.7956
0.5000 0.5000 0.2450
```

space group: Cmm2 (35)
total magnetization: 0.0 μB per cell
offset from the most stable computed form: 577.0 meV per atom
formation energy without anion corrections: 738 meV per atom

---

# 2
Below is a relaxed structure of ReSi2Br, with properties calculated at the GGA-PBE level.

Geometry as POSCAR:
```
ReSi2Br
1.0
0.0000 3.1550 3.1550
3.1550 0.0000 3.1550
3.1550 3.1550 0.0000
Re Si Br
1 2 1
direct
0.0000 0.0000 0.0000
0.2500 0.2500 0.2500
0.5000 0.5000 0.5000
0.7500 0.7500 0.7500
```

space group: F-43m (216)
total magnetization: 0.0 μB per cell
offset from the most stable computed form: 780.0 meV per atom
formation energy without anion corrections: 941 meV per atom

---

# 3
Below is a relaxed structure of ReSi2Br, with properties calculated at the GGA-PBE level.

Geometry as POSCAR:
```
ReSi2Br
1.0
1.5146 0.8744 8.9443
-1.5146 0.8744 8.9443
0.0000 -1.7489 8.9443
Re Si Br
1 2 1
direct
0.0000 0.0000 0.0000
0.2660 0.2660 0.2660
0.5262 0.5262 0.5262
0.7415 0.7415 0.7415
```

space group: R3m (160)
total magnetization: 0.0 μB per cell
offset from the most stable computed form: 394.8 meV per atom
formation energy without anion corrections: 555 meV per atom